1.
Below is a relaxed structure of Tl2C, with properties calculated at the PBE level.

Unit cell a=6.385 b=6.385 c=6.385 alpha=90.00 beta=90.00 gamma=90.00
Atoms (fractional coordinates):
Tl  0.146  0.146  0.146
Tl  0.146  0.354  0.646
Tl  0.354  0.646  0.146
Tl  0.354  0.854  0.646
Tl  0.646  0.146  0.354
Tl  0.646  0.354  0.854
Tl  0.854  0.646  0.354
Tl  0.854  0.854  0.854
C  0.000  0.000  0.500
C  0.000  0.500  0.000
C  0.500  0.000  0.000
C  0.500  0.500  0.500



2.
Below is a relaxed structure of Tl2C, with properties calculated at the PBE level.

Unit cell a=8.816 b=8.816 c=8.381 alpha=90.00 beta=90.00 gamma=120.00
Atoms (fractional coordinates):
Tl  0.000  0.000  0.000
Tl  0.000  0.000  0.500
Tl  0.164  0.329  0.250
Tl  0.164  0.836  0.250
Tl  0.329  0.164  0.750
Tl  0.671  0.836  0.250
Tl  0.836  0.164  0.750
Tl  0.836  0.671  0.750
C  0.333  0.667  0.173
C  0.333  0.667  0.327
C  0.667  0.333  0.673
C  0.667  0.333  0.827



3.
Below is a relaxed structure of Tl2C, with properties calculated at the PBE level.

Unit cell a=3.552 b=3.552 c=5.200 alpha=90.00 beta=90.00 gamma=90.00
Atoms (fractional coordinates):
Tl  0.000  0.000  0.000
Tl  0.500  0.500  0.500
C  0.000  0.000  0.500



4.
Below is a relaxed structure of Tl5C3, with properties calculated at the PBE level.

Unit cell a=8.830 b=8.830 c=3.024 alpha=90.00 beta=90.00 gamma=92.61
Atoms (fractional coordinates):
Tl  0.000  0.000  0.000
Tl  0.000  0.500  0.000
Tl  0.245  0.755  0.500
Tl  0.500  0.000  0.000
Tl  0.755  0.245  0.500
C  0.442  0.442  0.500
C  0.500  0.500  0.000
C  0.558  0.558  0.500



5.
Below is a relaxed structure of Tl2C, with properties calculated at the PBE level.

Unit cell a=6.308 b=6.308 c=6.308 alpha=60.00 beta=60.00 gamma=60.00
Atoms (fractional coordinates):
Tl  0.000  0.000  0.000
Tl  0.000  0.000  0.500
Tl  0.000  0.500  0.000
Tl  0.500  0.000  0.000
C  0.375  0.375  0.375
C  0.625  0.625  0.625



6.
Below is a relaxed structure of Tl2C, with properties calculated at the PBE level.

Unit cell a=6.013 b=6.013 c=3.900 alpha=90.00 beta=90.00 gamma=90.00
Atoms (fractional coordinates):
Tl  0.197  0.197  0.000
Tl  0.303  0.697  0.500
Tl  0.697  0.303  0.500
Tl  0.803  0.803  0.000
C  0.000  0.000  0.500
C  0.500  0.500  0.000



no.,formation enthalpy at 0 K (eV/atom)
1,1.40
2,1.01
3,1.41
4,1.29
5,2.29
6,1.38